The following is a PBE-GGA calculation of an optimized crystal structure of AcScPd2, from the Alexandria database.

space-group type = P4/mmm, No. 123
ΔH_f (0 K) = -2.9 eV per formula unit
E_tot = -0.4363 Ry per atom
distance to the lowest polymorph of the same formula = 0.058 eV/atom

Cell: 3.5022 3.5022 7.3180 Å, 90.00 90.00 90.00°
Positions (direct):
Ac1 0.0000 0.0000 0.0000
Sc1 0.0000 0.0000 0.5000
Pd1 0.5000 0.5000 0.2985
Pd2 0.5000 0.5000 0.7015

The following is a PBE-GGA calculation of an optimized crystal structure of AcScPdSe3, from the Alexandria database.

space-group type = P2_1/m, No. 11
raw formation energy = -1.551 eV/atom
E_tot = -0.4336 Ry per atom

Cell: 7.7363 4.0708 9.4152 Å, 90.00 105.41 90.00°
Positions (direct):
Ac1 0.2216 0.2500 0.2817
Ac2 0.7784 0.7500 0.7183
Sc1 0.3092 0.7500 0.8292
Sc2 0.6908 0.2500 0.1708
Pd1 0.0956 0.2500 0.6021
Pd2 0.9044 0.7500 0.3979
Se1 0.0847 0.2500 0.8701
Se2 0.2899 0.7500 0.5427
Se3 0.4349 0.7500 0.1364
Se4 0.5651 0.2500 0.8636
Se5 0.7101 0.2500 0.4573
Se6 0.9153 0.7500 0.1299